(1)
Below is a relaxed structure of DyB4Mo, with properties calculated at the PBEsol level.

Output
calculated formation energy	-698	meV/atom
calculated total energy	-8.167	eV per atom

Unit cell a=5.993 b=11.582 c=3.578 alpha=90.00 beta=90.00 gamma=90.00
Space group Pbam (No. 55)
Inequivalent atoms, fractional coordinates:
1 Dy 0.127 0.150 0.000 x4
2 B 0.023 0.694 0.500 x4
3 B 0.114 0.548 0.500 x4
4 B 0.133 0.968 0.500 x4
5 B 0.213 0.814 0.500 x4
6 Mo 0.129 0.417 0.000 x4

(2)
Below is a relaxed structure of Sr5As3O12F, with properties calculated at the PBEsol level.

Output
raw formation energy	-2445	meV per atom
calculated total energy	-6.704	eV per atom

Unit cell a=9.9850 b=9.9850 c=7.4072 alpha=90.00 beta=90.00 gamma=120.00
Space group P6_3/m (No. 176)
Inequivalent atoms, fractional coordinates:
1 Sr 0.0093 0.2490 0.2500 x6
2 Sr 0.3333 0.6667 0.0005 x4
3 As 0.0311 0.3993 0.7500 x6
4 O 0.0936 0.3433 0.5651 x12
5 O 0.1263 0.5978 0.7500 x6
6 O 0.1655 0.6804 0.2500 x6
7 F 0.0000 0.0000 0.2500 x2

(3)
Below is a relaxed structure of MgWAu, with properties calculated at the PBEsol level.

Output
calculated formation energy	811	meV/atom
calculated total energy	-5.672	eV per atom

Unit cell a=6.144 b=6.144 c=6.144 alpha=90.00 beta=90.00 gamma=90.00
Space group F-43m (No. 216)
Inequivalent atoms, fractional coordinates:
1 Mg 0.000 0.000 0.000 x4
2 W 0.000 0.000 0.500 x4
3 Au 0.250 0.250 0.750 x4

(4)
Below is a relaxed structure of LiVSi2O6, with properties calculated at the PBEsol level.

Output
raw formation energy	-2542	meV per atom
calculated total energy	-8.001	eV per atom

Unit cell a=6.998 b=7.248 c=7.266 alpha=81.95 beta=62.36 gamma=79.24
Space group P-1 (No. 2)
Inequivalent atoms, fractional coordinates:
1 Li 0.000 0.000 0.000 x1
2 Li 0.124 0.257 0.260 x2
3 V 0.452 0.727 0.757 x2
4 V 0.500 0.000 0.000 x1
5 Si 0.182 0.655 0.252 x2
6 Si 0.258 0.330 0.791 x2
7 Si 0.299 0.886 0.480 x2
8 O 0.049 0.336 0.749 x2
9 O 0.129 0.771 0.457 x2
10 O 0.220 0.920 0.720 x2
11 O 0.248 0.174 0.978 x2
12 O 0.279 0.537 0.828 x2
13 O 0.286 0.440 0.269 x2
14 O 0.340 0.782 0.052 x2
15 O 0.354 0.062 0.306 x2
16 O 0.472 0.262 0.567 x2

(5)
Below is a relaxed structure of MgBrCl2, with properties calculated at the PBEsol level.

Output
raw formation energy	-723	meV per atom
calculated total energy	-2.624	eV per atom

Unit cell a=3.192 b=3.192 c=9.072 alpha=90.00 beta=90.00 gamma=90.00
Space group P4mm (No. 99)
Inequivalent atoms, fractional coordinates:
1 Mg 0.000 0.000 0.000 x1
2 Br 0.500 0.500 0.197 x1
3 Cl 0.000 0.000 0.530 x1
4 Cl 0.500 0.500 0.850 x1

(6)
Below is a relaxed structure of KZnAg2, with properties calculated at the PBEsol level.

Output
calculated formation energy	49	meV/atom
calculated total energy	-2.285	eV per atom

Unit cell a=7.872 b=4.591 c=6.469 alpha=90.00 beta=114.55 gamma=90.00
Space group Cm (No. 8)
Inequivalent atoms, fractional coordinates:
1 K 0.000 0.000 0.000 x2
2 Zn 0.318 0.500 0.452 x2
3 Ag 0.184 0.000 0.553 x2
4 Ag 0.491 0.000 0.473 x2

(7)
Below is a relaxed structure of AlMoPt3, with properties calculated at the PBEsol level.

Output
calculated formation energy	1184	meV/atom
calculated total energy	-6.166	eV per atom

Unit cell a=4.752 b=4.752 c=4.752 alpha=90.00 beta=90.00 gamma=90.00
Space group Pm-3m (No. 221)
Inequivalent atoms, fractional coordinates:
1 Al 0.000 0.000 0.000 x1
2 Mo 0.500 0.500 0.500 x1
3 Pt 0.000 0.500 0.500 x3

(8)
Below is a relaxed structure of TlPW2, with properties calculated at the PBEsol level.

Output
calculated formation energy	836	meV/atom
calculated total energy	-8.174	eV per atom

Unit cell a=4.486 b=4.486 c=3.156 alpha=90.00 beta=90.00 gamma=90.00
Space group P4/mmm (No. 123)
Inequivalent atoms, fractional coordinates:
1 Tl 0.000 0.000 0.000 x1
2 P 0.500 0.500 0.000 x1
3 W 0.000 0.500 0.500 x2

(9)
Below is a relaxed structure of CaGa2Hg2, with properties calculated at the PBEsol level.

Output
calculated formation energy	-334	meV/atom
calculated total energy	-2.324	eV per atom

Unit cell a=4.179 b=4.179 c=12.543 alpha=90.00 beta=90.00 gamma=90.00
Space group I4/mmm (No. 139)
Inequivalent atoms, fractional coordinates:
1 Ca 0.000 0.000 0.000 x2
2 Ga 0.000 0.500 0.250 x4
3 Hg 0.000 0.000 0.390 x4

(10)
Below is a relaxed structure of MgAlHg2, with properties calculated at the PBEsol level.

Output
calculated formation energy	-96	meV/atom
calculated total energy	-1.831	eV per atom

Unit cell a=4.775 b=3.283 c=5.588 alpha=90.00 beta=112.88 gamma=90.00
Space group P2/m (No. 10)
Inequivalent atoms, fractional coordinates:
1 Mg 0.000 0.000 0.000 x1
2 Al 0.000 0.500 0.500 x1
3 Hg 0.500 0.000 0.500 x1
4 Hg 0.500 0.500 0.000 x1

(11)
Below is a relaxed structure of TaP2Os, with properties calculated at the PBEsol level.

Output
calculated formation energy	90	meV/atom
calculated total energy	-8.998	eV per atom

Unit cell a=5.778 b=7.700 c=2.876 alpha=90.00 beta=115.66 gamma=90.00
Space group C2/m (No. 12)
Inequivalent atoms, fractional coordinates:
1 Ta 0.000 0.000 0.000 x2
2 P 0.250 0.250 0.500 x4
3 Os 0.000 0.500 0.000 x2

(12)
Below is a relaxed structure of ScCd2Pt, with properties calculated at the PBEsol level.

Output
calculated formation energy	-542	meV/atom
calculated total energy	-4.533	eV per atom

Unit cell a=3.390 b=3.390 c=6.588 alpha=90.00 beta=90.00 gamma=90.00
Space group P4mm (No. 99)
Inequivalent atoms, fractional coordinates:
1 Sc 0.000 0.000 0.000 x1
2 Cd 0.000 0.000 0.547 x1
3 Cd 0.500 0.500 0.286 x1
4 Pt 0.500 0.500 0.810 x1